This record from Alexandria via LeMat-Bulk describes a geometry-optimized ZrCoSi2Ru structure. The functional is GGA-PBE.

Computed properties:
symmetry	No. 119
spin magnetization	0.000	μB per atom
N(E_F)	0.67	states/eV per atom
electronic total energy	-79.32	eV/cell

POSCAR file:
```
ZrCoSi2Ru
1.0
3.9083 0.0000 0.0000
0.0000 3.9083 0.0000
0.0000 0.0000 9.6432
Zr Co Si Ru
2 2 4 2
direct
0.0000 0.0000 0.0000
0.5000 0.5000 0.5000
0.0000 0.5000 0.2500
0.5000 0.0000 0.7500
0.0000 0.0000 0.3775
0.0000 0.0000 0.6225
0.5000 0.5000 0.1225
0.5000 0.5000 0.8775
0.0000 0.5000 0.7500
0.5000 0.0000 0.2500
```